DFT (SCAN) results for ZrCuOs2Pd at its PBEsol-relaxed geometry.

Computed properties:
Energy of formation: 10.724 eV per formula unit
DOS(E_F): 0.6751 states/eV per atom

```
ZrCuOs2Pd
1.0
-4.6761 0.6608 0.3638
0.2150 -1.0222 4.6199
0.7263 4.5981 0.9835
Cu Os Zr Pd
1 2 1 1
Cartesian
-1.8674 2.1184 2.9836
0.1075 -0.5111 2.3100
-2.3380 0.3304 0.1819
0.0000 0.0000 0.0000
0.3632 2.2991 0.4918
```